[1]
Material: HgMo2Pt
Method: DFT, PBE-GGA
State: optimized geometry

It has space group R-3m (No. 166, hexagonal axes), with a = 2.8484 Å, b = 2.8484 Å, c = 28.7205 Å, α = 90.00°, β = 90.00° and γ = 120.00°. The inequivalent atoms are Hg at (0.0000, 0.0000, 0.0000), Mo at (0.0000, 0.0000, 0.2456) and Pt at (0.0000, 0.0000, 0.5000).

The calculation puts the density of states at the Fermi level at 2.99 states/eV/f.u. Its size of the total moment is 0.0 μB per formula unit. The value obtained for the total energy is -6.72 eV/atom. As for the formation energy from the elements: 0.284 eV/atom.

---

[2]
Material: AgSnBi2Te4
Method: DFT, PBE-GGA
State: optimized geometry

It has space group P2/m (No. 10), with a = 7.7464 Å, b = 4.4748 Å, c = 7.7556 Å, α = 90.00°, β = 109.41° and γ = 90.00°. The inequivalent atoms are Ag at (0.0000, 0.0000, 0.0000), Sn at (0.5000, 0.5000, 0.0000), Bi at (0.0000, 0.5000, 0.5000), Bi at (0.5000, 0.0000, 0.5000), Te at (0.2411, 0.5000, 0.2386) and Te at (0.2470, 0.0000, 0.7576).

The calculation puts the energy relative to the elements, uncorrected at -148 meV per atom. The calculation puts the density of states at the Fermi level at 3.60 states/eV/f.u. Its size of the total moment is 0.0 μB per formula unit. The value obtained for the total energy is -3.55 eV/atom.

---

[3]
Material: ZrSc2Cr
Method: DFT, PBE-GGA
State: optimized geometry

It has space group Amm2 (No. 38), with a = 4.7222 Å, b = 3.1581 Å, c = 11.4095 Å, α = 90.00°, β = 90.00° and γ = 90.00°. The inequivalent atoms are Zr at (0.0000, 0.0000, 0.0000), Sc at (0.0000, 0.0000, 0.7305), Sc at (0.5000, 0.0000, 0.3823) and Cr at (0.5000, 0.0000, 0.1184).

The calculation puts the density of states at the Fermi level at 3.61 states/eV/f.u. Its size of the total moment is 1.9 μB per formula unit. The value obtained for the total energy is -7.49 eV/atom. As for the formation energy from the elements: 0.214 eV/atom.

---

[4]
Material: Ti3Sn4Pd3
Method: DFT, PBE-GGA
State: optimized geometry

It has space group I-43d (No. 220), with a = 9.2357 Å, b = 9.2357 Å, c = 9.2357 Å, α = 90.00°, β = 90.00° and γ = 90.00°. The inequivalent atoms are Ti at (0.0000, 0.2500, 0.8750), Sn at (0.1005, 0.3995, 0.6005) and Pd at (0.0000, 0.2500, 0.3750).

The calculation puts the density of states at the Fermi level at 10.26 states/eV/f.u. Its size of the total moment is 0.0 μB per formula unit. The value obtained for the total energy is -5.82 eV/atom. As for the formation energy from the elements: -0.293 eV/atom.

---

[5]
Material: BiRuCCl2
Method: DFT, PBE-GGA
State: optimized geometry

It has space group P4/mmm (No. 123), with a = 5.3098 Å, b = 5.3098 Å, c = 3.7595 Å, α = 90.00°, β = 90.00° and γ = 90.00°. The inequivalent atoms are Bi at (0.0000, 0.0000, 0.0000), Ru at (0.5000, 0.5000, 0.0000), C at (0.5000, 0.5000, 0.5000) and Cl at (0.0000, 0.5000, 0.5000).

The calculation puts the energy relative to the elements, uncorrected at 1016 meV per atom. The calculation puts the density of states at the Fermi level at 4.19 states/eV/f.u. Its size of the total moment is 0.4 μB per formula unit. The value obtained for the total energy is -4.20 eV/atom.

---

[6]
Material: ZrAg2Pb
Method: DFT, PBE-GGA
State: optimized geometry

It has space group F-43m (No. 216), with a = 6.9725 Å, b = 6.9725 Å, c = 6.9725 Å, α = 90.00°, β = 90.00° and γ = 90.00°. The inequivalent atoms are Zr at (0.0000, 0.0000, 0.0000), Ag at (0.0000, 0.0000, 0.5000), Ag at (0.2500, 0.2500, 0.7500) and Pb at (0.2500, 0.2500, 0.2500).

The calculation puts the density of states at the Fermi level at 1.46 states/eV/f.u. Its size of the total moment is 0.0 μB per formula unit. The value obtained for the total energy is -4.42 eV/atom. As for the formation energy from the elements: 0.067 eV/atom.

---

[7]
Material: La2Tb4PmPr
Method: DFT, PBE-GGA
State: optimized geometry

It has space group P2/m (No. 10), with a = 6.3082 Å, b = 3.6544 Å, c = 11.9613 Å, α = 90.00°, β = 100.25° and γ = 90.00°. The inequivalent atoms are La at (0.0000, 0.0000, 0.0000), La at (0.0000, 0.5000, 0.5000), Tb at (0.2501, 0.0000, 0.7496), Tb at (0.2506, 0.5000, 0.2510), Pm at (0.5000, 0.0000, 0.5000) and Pr at (0.5000, 0.5000, 0.0000).

The calculation puts the density of states at the Fermi level at 11.18 states/eV/f.u. Its size of the total moment is 0.0 μB per formula unit. The value obtained for the total energy is -4.72 eV/atom. As for the formation energy from the elements: 0.015 eV/atom.

---

[8]
Material: Pm3Er3TlIn2
Method: DFT, PBE-GGA
State: optimized geometry

It has space group P-62m (No. 189), with a = 9.0501 Å, b = 9.0501 Å, c = 3.7508 Å, α = 90.00°, β = 90.00° and γ = 120.00°. The inequivalent atoms are Pm at (0.0000, 0.7102, 0.0000), Er at (0.0000, 0.3822, 0.5000), Tl at (0.0000, 0.0000, 0.5000) and In at (0.3333, 0.6667, 0.0000).

The calculation puts the density of states at the Fermi level at 9.10 states/eV/f.u. Its size of the total moment is 0.2 μB per formula unit. The value obtained for the total energy is -4.25 eV/atom. As for the formation energy from the elements: -0.272 eV/atom.

---

[9]
Material: BaNdBr5
Method: DFT, PBE-GGA
State: optimized geometry

It has space group C2/c (No. 15), with a = 5.9316 Å, b = 20.8171 Å, c = 7.3901 Å, α = 90.00°, β = 93.63° and γ = 90.00°. The inequivalent atoms are Ba at (0.0000, 0.1737, 0.2500), Nd at (0.0000, 0.4226, 0.2500), Br at (0.0000, 0.1282, 0.7500), Br at (0.0053, 0.3094, 0.9961) and Br at (0.2456, 0.4658, 0.6001).

The calculation puts the energy relative to the elements, uncorrected at -1997 meV per atom. The calculation puts the density of states at the Fermi level at 0.00 states/eV/f.u. Its size of the total moment is 0.0 μB per formula unit. The value obtained for the total energy is -4.15 eV/atom.

---

[10]
Material: LiPaNiRh
Method: DFT, PBE-GGA
State: optimized geometry

It has space group F-43m (No. 216), with a = 6.4676 Å, b = 6.4676 Å, c = 6.4676 Å, α = 90.00°, β = 90.00° and γ = 90.00°. The inequivalent atoms are Li at (0.0000, 0.0000, 0.0000), Pa at (0.0000, 0.0000, 0.5000), Ni at (0.2500, 0.2500, 0.2500) and Rh at (0.2500, 0.2500, 0.7500).

The calculation puts the density of states at the Fermi level at 4.24 states/eV/f.u. Its size of the total moment is 0.0 μB per formula unit. The value obtained for the total energy is -6.45 eV/atom. As for the formation energy from the elements: -0.316 eV/atom.

---

[11]
Material: Pa2MnPd
Method: DFT, PBE-GGA
State: optimized geometry

It has space group P4/mmm (No. 123), with a = 3.0927 Å, b = 3.0927 Å, c = 8.0852 Å, α = 90.00°, β = 90.00° and γ = 90.00°. The inequivalent atoms are Pa at (0.0000, 0.0000, 0.2232), Mn at (0.5000, 0.5000, 0.0000) and Pd at (0.5000, 0.5000, 0.5000).

The calculation puts the density of states at the Fermi level at 5.35 states/eV/f.u. Its size of the total moment is 0.0 μB per formula unit. The value obtained for the total energy is -8.50 eV/atom. As for the formation energy from the elements: -0.161 eV/atom.

---

[12]
Material: AgRuRh2
Method: DFT, PBE-GGA
State: optimized geometry

It has space group I-4m2 (No. 119), with a = 3.8683 Å, b = 3.8683 Å, c = 7.9475 Å, α = 90.00°, β = 90.00° and γ = 90.00°. The inequivalent atoms are Ag at (0.0000, 0.0000, 0.0000), Ru at (0.0000, 0.5000, 0.2500), Rh at (0.0000, 0.0000, 0.5000) and Rh at (0.0000, 0.5000, 0.7500).

The calculation puts the density of states at the Fermi level at 5.56 states/eV/f.u. Its size of the total moment is 0.0 μB per formula unit. The value obtained for the total energy is -6.36 eV/atom. As for the formation energy from the elements: 0.351 eV/atom.

---

[13]
Material: Ho5SnIr2
Method: DFT, PBE-GGA
State: optimized geometry

It has space group I4/mcm (No. 140), with a = 7.7530 Å, b = 7.7530 Å, c = 13.3989 Å, α = 90.00°, β = 90.00° and γ = 90.00°. The inequivalent atoms are Ho at (0.0000, 0.0000, 0.0000), Ho at (0.1587, 0.3413, 0.1340), Sn at (0.0000, 0.0000, 0.2500) and Ir at (0.1394, 0.3606, 0.5000).

The calculation puts the density of states at the Fermi level at 7.78 states/eV/f.u. Its size of the total moment is 0.0 μB per formula unit. The value obtained for the total energy is -6.34 eV/atom. As for the formation energy from the elements: -0.768 eV/atom.

---

[14]
Material: Y10HoTm2
Method: DFT, PBE-GGA
State: optimized geometry

It has space group Fmmm (No. 69), with a = 6.5364 Å, b = 15.4787 Å, c = 17.3218 Å, α = 90.00°, β = 90.00° and γ = 90.00°. The inequivalent atoms are Y at (0.0000, 0.1038, 0.1005), Y at (0.0000, 0.1813, 0.3330), Y at (0.2500, 0.0000, 0.2500), Ho at (0.0000, 0.0000, 0.5000) and Tm at (0.2500, 0.2500, 0.0000).

The calculation puts the density of states at the Fermi level at 30.80 states/eV/f.u. Its size of the total moment is 0.0 μB per formula unit. The value obtained for the total energy is -5.72 eV/atom. As for the formation energy from the elements: 0.291 eV/atom.

---

[15]
Material: Na3LiCa
Method: DFT, PBE-GGA
State: optimized geometry

It has space group Pm-3m (No. 221), with a = 6.4880 Å, b = 6.4880 Å, c = 6.4880 Å, α = 90.00°, β = 90.00° and γ = 90.00°. The inequivalent atoms are Na at (0.0000, 0.0000, 0.5000), Li at (0.5000, 0.5000, 0.5000) and Ca at (0.0000, 0.0000, 0.0000).

The calculation puts the density of states at the Fermi level at 4.47 states/eV/f.u. Its size of the total moment is 0.0 μB per formula unit. The value obtained for the total energy is -1.00 eV/atom. As for the formation energy from the elements: 0.579 eV/atom.

---

[16]
Material: BaBr3F
Method: DFT, PBE-GGA
State: optimized geometry

It has space group Pm-3m (No. 221), with a = 5.1739 Å, b = 5.1739 Å, c = 5.1739 Å, α = 90.00°, β = 90.00° and γ = 90.00°. The inequivalent atoms are Ba at (0.0000, 0.0000, 0.0000), Br at (0.0000, 0.5000, 0.5000) and F at (0.5000, 0.5000, 0.5000).

The calculation puts the energy relative to the elements, uncorrected at -1128 meV per atom. The calculation puts the density of states at the Fermi level at 3.98 states/eV/f.u. Its size of the total moment is 0.0 μB per formula unit. The value obtained for the total energy is -2.89 eV/atom.

---

[17]
Material: YSc3As3
Method: DFT, PBE-GGA
State: optimized geometry

It has space group P2_13 (No. 198), with a = 8.3325 Å, b = 8.3325 Å, c = 8.3325 Å, α = 90.00°, β = 90.00° and γ = 90.00°. The inequivalent atoms are Y at (0.0673, 0.4327, 0.5673), Sc at (0.0712, 0.5712, 0.9288), Sc at (0.1793, 0.8207, 0.3207), Sc at (0.1840, 0.1840, 0.1840) and As at (0.0026, 0.2580, 0.8786).

The calculation puts the density of states at the Fermi level at 7.29 states/eV/f.u. Its size of the total moment is 0.0 μB per formula unit. The value obtained for the total energy is -6.84 eV/atom. As for the formation energy from the elements: -1.206 eV/atom.